This record from Alexandria via LeMat-Bulk describes crystalline Ca2Ga5Au12 at its relaxed geometry. The functional is PBE-GGA.

```
19
Lattice="4.7805 2.7600 4.7242 -4.7805 2.7600 4.7242 0.0000 -5.5200 4.7242" Properties=species:S:1:pos:R:3 pbc="T T T"
Ca 0.0000 0.0000 2.1858
Ca 0.0000 0.0000 11.9868
Ga -2.3902 -1.3800 4.7242
Ga 0.0000 0.0000 5.8525
Ga -2.3902 1.3800 9.4484
Ga 0.0000 2.7600 4.7242
Ga 0.0000 0.0000 8.3201
Au 0.0000 -2.5263 4.6070
Au -2.1879 1.2632 4.6070
Au -1.5298 -2.6496 7.0863
Au -3.0595 0.0000 7.0863
Au -2.1879 -1.2632 9.5656
Au 1.5298 -2.6496 7.0863
Au -1.5298 2.6496 7.0863
Au 2.1879 1.2632 4.6070
Au 3.0595 0.0000 7.0863
Au 1.5298 2.6496 7.0863
Au 2.1879 -1.2632 9.5656
Au 0.0000 2.5264 9.5656
```

Calculated values
The value obtained for the size of the total moment is 0.00 μB per formula unit. For the energy of formation, the calculation gives -0.320 eV per atom. The space group is R-3m (166).

***

This record from Alexandria via LeMat-Bulk describes crystalline AcAlZnAu2 at its relaxed geometry. The functional is PBE-GGA.

```
5
Lattice="-2.1929 2.1929 5.8217 2.1929 -2.1929 5.8217 2.1929 2.1929 -5.8217" Properties=species:S:1:pos:R:3 pbc="T T T"
Ac 0.0000 0.0000 0.0000
Al 0.0000 2.1929 2.9109
Zn 2.1929 0.0000 2.9109
Au 0.0000 0.0000 4.3858
Au 0.0000 0.0000 7.2576
```

Calculated values
The value obtained for the size of the total moment is 0.00 μB per formula unit. For the energy of formation, the calculation gives -0.639 eV per atom. The space group is I-4m2 (119).

***

This record from Alexandria via LeMat-Bulk describes crystalline SrSc4Sb at its relaxed geometry. The functional is PBE-GGA.

```
6
Lattice="0.0000 4.3954 4.3954 4.3954 0.0000 4.3954 4.3954 4.3954 0.0000" Properties=species:S:1:pos:R:3 pbc="T T T"
Sr 0.0000 0.0000 0.0000
Sc 3.2905 3.2905 3.2905
Sc 5.5003 5.5003 3.2905
Sc 5.5003 3.2905 5.5003
Sc 3.2905 5.5003 5.5003
Sb 6.5931 6.5931 6.5931
```

Calculated values
The value obtained for the size of the total moment is 1.10 μB per formula unit. The calculation puts the uncorrected formation energy at 134.6 meV per atom. The space group is F-43m (216).

***

This record from Alexandria via LeMat-Bulk describes crystalline CeTmInTc at its relaxed geometry. The functional is PBE-GGA.

```
4
Lattice="0.0000 3.5938 3.5938 3.5938 0.0000 3.5938 3.5938 3.5938 0.0000" Properties=species:S:1:pos:R:3 pbc="T T T"
Ce 0.0000 0.0000 0.0000
Tm 3.5938 3.5938 3.5938
In 1.7969 1.7969 1.7969
Tc 5.3907 5.3907 5.3907
```

Calculated values
The value obtained for the size of the total moment is 0.00 μB per formula unit. For the energy of formation, the calculation gives -0.120 eV per atom. The space group is F-43m (216).

***

This record from Alexandria via LeMat-Bulk describes crystalline Hg4BiPb2 at its relaxed geometry. The functional is PBE-GGA.

```
7
Lattice="-2.9094 2.9094 7.7364 2.9094 -2.9094 7.7364 2.9094 2.9094 -7.7364" Properties=species:S:1:pos:R:3 pbc="T T T"
Hg 2.9094 0.0000 0.0000
Hg 0.0000 0.0000 3.1001
Hg 0.0000 2.9094 0.0000
Hg 0.0000 0.0000 12.3726
Bi 0.0000 0.0000 0.0000
Pb 0.0000 0.0000 6.1129
Pb 0.0000 0.0000 9.3599
```

Calculated values
The value obtained for the size of the total moment is 0.00 μB per formula unit. For the energy of formation, the calculation gives 0.250 eV per atom. The space group is I4/mmm (139).

***

This record from Alexandria via LeMat-Bulk describes crystalline Er4Ga3Au at its relaxed geometry. The functional is PBE-GGA.

```
8
Lattice="3.9649 0.0000 0.0000 0.0000 4.2769 0.0000 0.0000 0.0000 11.0299" Properties=species:S:1:pos:R:3 pbc="T T T"
Er 0.0000 0.0000 0.0000
Er 0.0000 2.1384 3.0910
Er 1.9824 0.0000 5.4572
Er 1.9824 2.1384 8.6523
Ga 0.0000 0.0000 7.8920
Ga 0.0000 2.1384 6.2233
Ga 1.9824 2.1384 0.6037
Au 1.9824 0.0000 2.4462
```

Calculated values
The value obtained for the size of the total moment is 0.00 μB per formula unit. For the energy of formation, the calculation gives -0.669 eV per atom. The space group is Pmm2 (25).

***

Record-wise energy values, in eV for the cell shown: -64.55, -18.87, -30.32, -23.99, -10.75, -35.96
Record-wise DOS(E_F) values, in states/eV/atom: 0.4118, 0.8038, 1.7662, 0.7228, 0.5052, 0.7223